No. 1
VASP calculation (GGA-PBE) on TlHg2As after structural relaxation.

Results
formation enthalpy at 0 K	0.215	eV per atom

abc: 4.3487 4.3487 10.8294
angles: 90.00 90.00 90.00
With the nearest neighbours (Å) after each atom.
Space group I-4m2 (No. 119)
Inequivalent atoms, fractional coordinates:
Tl 0.0000 0.0000 0.0000 (multiplicity 2)  4 Hg 3.07
Hg 0.0000 0.0000 0.5000 (multiplicity 2)  4 Tl 3.07
Hg 0.0000 0.5000 0.2500 (multiplicity 2)  4 As 3.07
As 0.0000 0.5000 0.7500 (multiplicity 2)  4 Hg 3.07

No. 2
VASP calculation (GGA-PBE) on TlHgAs2 after structural relaxation.

Results
formation enthalpy at 0 K	0.347	eV per atom

abc: 6.0475 10.3354 3.1086
angles: 90.00 102.84 90.00
With the nearest neighbours (Å) after each atom.
Space group C2/m (No. 12)
Inequivalent atoms, fractional coordinates:
Tl 0.0000 0.0000 0.0000 (multiplicity 2)  2 Hg 3.02, 2 Tl 3.11, 4 As 3.21
Hg 0.0000 0.5000 0.0000 (multiplicity 2)  2 Tl 3.02, 2 Hg 3.11, 4 As 3.21
As 0.2500 0.2500 0.5000 (multiplicity 4)  4 As 3.02-3.11, 2 Hg 3.21, 2 Tl 3.21

No. 3
VASP calculation (GGA-PBE) on TlHg2As after structural relaxation.

Results
formation enthalpy at 0 K	0.206	eV per atom

abc: 4.1303 5.3070 9.3532
angles: 90.00 90.00 90.00
With the nearest neighbours (Å) after each atom.
Space group Cmmm (No. 65)
Inequivalent atoms, fractional coordinates:
Tl 0.0000 0.0000 0.0000 (multiplicity 2)  4 Hg 3.29, 4 Tl 3.36
Hg 0.0000 0.5000 0.2744 (multiplicity 4)  2 As 2.95, 2 Tl 3.29
As 0.0000 0.0000 0.5000 (multiplicity 2)  4 Hg 2.95

No. 4
VASP calculation (GGA-PBE) on Tl4Hg2As after structural relaxation.

Results
formation enthalpy at 0 K	0.021	eV per atom

abc: 5.5399 4.2132 9.6606
angles: 90.00 98.43 90.00
With the nearest neighbours (Å) after each atom.
Space group P2/m (No. 10)
Inequivalent atoms, fractional coordinates:
Tl 0.1712 0.0000 0.3796 (multiplicity 2)  2 As 2.91, 1 Hg 3.12, 1 Tl 3.21
Tl 0.3111 0.5000 0.7723 (multiplicity 2)  1 As 2.97
Hg 0.2598 0.0000 0.0676 (multiplicity 2)  2 Hg 2.98-3.13, 1 Tl 3.12
As 0.5000 0.5000 0.5000 (multiplicity 1)  6 Tl 2.91-2.97

No. 5
VASP calculation (GGA-PBE) on TlHg2As after structural relaxation.

Results
formation enthalpy at 0 K	0.172	eV per atom

abc: 7.4150 7.4150 7.4150
angles: 90.00 90.00 90.00
With the nearest neighbours (Å) after each atom.
Space group Fm-3m (No. 225)
Inequivalent atoms, fractional coordinates:
Tl 0.0000 0.0000 0.0000 (multiplicity 4)  8 Hg 3.21
Hg 0.2500 0.2500 0.2500 (multiplicity 8)  4 Tl 3.21, 4 As 3.21
As 0.0000 0.0000 0.5000 (multiplicity 4)  8 Hg 3.21

No. 6
VASP calculation (GGA-PBE) on Tl4HgAs2 after structural relaxation.

Results
formation enthalpy at 0 K	0.038	eV per atom

abc: 17.6448 3.5752 6.9411
angles: 90.00 104.44 90.00
With the nearest neighbours (Å) after each atom.
Space group C2/m (No. 12)
Inequivalent atoms, fractional coordinates:
Tl 0.0852 0.0000 0.4128 (multiplicity 4)  3 As 3.21-3.23, 2 Hg 3.39, 3 Tl 3.51-3.58
Tl 0.1626 0.5000 0.8811 (multiplicity 4)  1 Hg 3.18, 3 As 3.28-3.34
Hg 0.0000 0.5000 0.0000 (multiplicity 2)  6 Tl 3.18-3.39
As 0.2321 0.5000 0.3663 (multiplicity 4)  2 As 2.54

formation enthalpy at 0 K of number 3 (TlHg2As)? 0.206 eV per atom